1.
# PBE-GGA AlNiRu3, optimized geometry
# ΔE to the lowest computed polymorph (eV/atom): 0.151
data_AlNiRu3
_cell_length_a 4.366
_cell_length_b 4.366
_cell_length_c 4.366
_cell_angle_alpha 90.00
_cell_angle_beta 90.00
_cell_angle_gamma 90.00
_symmetry_space_group_name_H-M 'P m -3 m'
_symmetry_Int_Tables_number 221
_symmetry_space_group_name_Hall '-P 4 2 3'
loop_
_atom_site_label
_atom_site_type_symbol
_atom_site_fract_x
_atom_site_fract_y
_atom_site_fract_z
Al1 Al 0.000 0.000 0.000
Ni1 Ni 0.500 0.500 0.500
Ru1 Ru 0.000 0.000 0.500

---

2.
# PBE-GGA AlNiRu2, optimized geometry
# Electronic total energy (eV for the cell shown): -29.08
data_AlNiRu2
_cell_length_a 2.798
_cell_length_b 2.798
_cell_length_c 6.686
_cell_angle_alpha 90.00
_cell_angle_beta 90.00
_cell_angle_gamma 90.00
_symmetry_space_group_name_H-M 'P 4 m m'
_symmetry_Int_Tables_number 99
loop_
_symmetry_equiv_pos_as_xyz
'x,y,z'
'-y,x,z'
'-x,-y,z'
'y,-x,z'
'-x,y,z'
'y,x,z'
'x,-y,z'
'-y,-x,z'
loop_
_atom_site_label
_atom_site_type_symbol
_atom_site_fract_x
_atom_site_fract_y
_atom_site_fract_z
Al1 Al 0.000 0.000 0.000
Ni1 Ni 0.500 0.500 0.214
Ru1 Ru 0.000 0.000 0.481
Ru2 Ru 0.500 0.500 0.738

---

3.
# PBE-GGA Al4NiRu, optimized geometry
# ΔE to the lowest computed polymorph (eV/atom): 0.000
data_Al4NiRu
_cell_length_a 4.081
_cell_length_b 4.081
_cell_length_c 5.816
_cell_angle_alpha 90.00
_cell_angle_beta 90.00
_cell_angle_gamma 90.00
_symmetry_space_group_name_H-M 'P 4/m m m'
_symmetry_Int_Tables_number 123
_symmetry_space_group_name_Hall '-P 4 2'
loop_
_atom_site_label
_atom_site_type_symbol
_atom_site_fract_x
_atom_site_fract_y
_atom_site_fract_z
Al1 Al 0.000 0.500 0.243
Ni1 Ni 0.000 0.000 0.000
Ru1 Ru 0.500 0.500 0.500

---

| no. | size of the total moment (μB per cell) |
| --- | --- |
| 1 | 0.00 |
| 2 | 0.12 |
| 3 | 0.00 |